# 1
A plane-wave DFT calculation with PBE was carried out for a geometry-optimized RbGe2Pt structure.

Properties
Total DFT energy (no corrections) in eV per cell: -17.6
Space group: R-3m, No. 166

Lattice parameters (Å, degrees): 4.2129 4.2129 7.2569 73.13 73.13 60.00
Last column: nearest neighbours and their distance in Å.
Sites, in units of the cell vectors:
Ge  0.2909  0.2909  0.1272  3 Pt 2.58
Ge  0.7091  0.7091  0.8728  3 Pt 2.58
Rb  0.5000  0.5000  0.5000  6 Ge 3.52
Pt  0.0000  0.0000  0.0000  6 Ge 2.58

***

# 2
A plane-wave DFT calculation with PBE was carried out for a geometry-optimized Rb2Ge2Pt3 structure.

Properties
Total DFT energy (no corrections) in eV per cell: -31.8
Space group: C2/m, No. 12

Lattice parameters (Å, degrees): 4.1890 6.9242 8.0907 122.95 90.00 107.61
Last column: nearest neighbours and their distance in Å.
Sites, in units of the cell vectors:
Rb  0.8584  0.7169  0.2482  3 Ge 3.47-3.77, 3 Pt 3.50-3.58, 1 Rb 3.63
Rb  0.1416  0.2831  0.7518  3 Ge 3.47-3.77, 3 Pt 3.50-3.58, 1 Rb 3.63
Ge  0.8854  0.7708  0.7704  5 Pt 2.45-2.66
Ge  0.1146  0.2292  0.2296  5 Pt 2.45-2.66
Pt  0.5000  0.0000  0.0000  4 Ge 2.63, 2 Pt 2.79
Pt  0.6666  0.3333  0.4179  3 Ge 2.45-2.66
Pt  0.3334  0.6667  0.5821  3 Ge 2.45-2.66

***

# 3
A plane-wave DFT calculation with PBE was carried out for a geometry-optimized Rb3Ge3Pt5 structure.

Properties
Total DFT energy (no corrections) in eV per cell: -50.6
Space group: P-62m, No. 189

Lattice parameters (Å, degrees): 6.5450 7.4877 7.4877 120.00 90.00 90.00
Last column: nearest neighbours and their distance in Å.
Sites, in units of the cell vectors:
Rb  0.0000  0.6902  0.0000  2 Ge 3.32
Rb  0.0000  0.0000  0.6902  2 Ge 3.32
Rb  0.0000  0.3098  0.3098  2 Ge 3.32
Ge  0.5000  0.6177  0.0000  4 Pt 2.33-2.49
Ge  0.5000  0.3823  0.3823  4 Pt 2.33-2.49
Ge  0.5000  0.0000  0.6177  4 Pt 2.33-2.49
Pt  0.5000  0.6667  0.3333  3 Ge 2.33
Pt  0.5000  0.3333  0.6667  3 Ge 2.33
Pt  0.5000  0.2216  0.0000  2 Ge 2.49
Pt  0.5000  0.7784  0.7784  2 Ge 2.49
Pt  0.5000  0.0000  0.2216  2 Ge 2.49

***

# 4
A plane-wave DFT calculation with PBE was carried out for a geometry-optimized Rb3Ge4Pt2 structure.

Properties
Total DFT energy (no corrections) in eV per cell: -36.0
Space group: C2/m, No. 12

Lattice parameters (Å, degrees): 4.2191 7.0354 9.5846 114.01 90.00 107.45
Last column: nearest neighbours and their distance in Å.
Sites, in units of the cell vectors:
Rb  0.3694  0.7388  0.6336  6 Ge 3.49-3.84, 2 Pt 3.58-3.80, 4 Rb 3.78-3.82
Rb  0.0000  0.0000  0.0000  4 Ge 3.43, 4 Rb 3.82
Rb  0.6306  0.2612  0.3664  6 Ge 3.49-3.84, 2 Pt 3.58-3.80, 4 Rb 3.78-3.82
Ge  0.7178  0.4356  0.0717  3 Pt 2.57-2.66, 2 Ge 2.85
Ge  0.0830  0.1661  0.6321  2 Pt 2.51, 1 Ge 2.56
Ge  0.9170  0.8339  0.3679  2 Pt 2.51, 1 Ge 2.56
Ge  0.2822  0.5644  0.9283  3 Pt 2.57-2.66, 2 Ge 2.85
Pt  0.3368  0.6736  0.2203  5 Ge 2.51-2.66
Pt  0.6632  0.3264  0.7797  5 Ge 2.51-2.66

***

# 5
A plane-wave DFT calculation with PBE was carried out for a geometry-optimized Rb3GePt structure.

Properties
Energy above the most stable polymorph in this dataset in meV per atom: 0.0
Total DFT energy (no corrections) in eV per cell: -11.8
Space group: Pm-3m, No. 221

Lattice parameters (Å, degrees): 6.3931 6.3931 6.3931 90.00 90.00 90.00
Last column: nearest neighbours and their distance in Å.
Sites, in units of the cell vectors:
Ge  0.5000  0.5000  0.5000  12 Rb 4.52
Rb  0.0000  0.5000  0.0000  2 Pt 3.20
Rb  0.0000  0.0000  0.5000  2 Pt 3.20
Rb  0.5000  0.0000  0.0000  2 Pt 3.20
Pt  0.0000  0.0000  0.0000  6 Rb 3.20

***

# 6
A plane-wave DFT calculation with PBE was carried out for a geometry-optimized Rb2Ge4Pt3 structure.

Properties
Total DFT energy (no corrections) in eV per cell: -40.5
Space group: Fmmm, No. 69

Lattice parameters (Å, degrees): 6.2389 6.2389 7.5511 101.95 101.95 119.91
Last column: nearest neighbours and their distance in Å.
Sites, in units of the cell vectors:
Rb  0.6422  0.6422  0.2844  8 Ge 3.57-3.65, 6 Pt 3.68, 1 Rb 3.91
Rb  0.3578  0.3578  0.7156  8 Ge 3.57-3.65, 6 Pt 3.68, 1 Rb 3.91
Ge  0.0417  0.7016  0.7433  3 Pt 2.51-2.55
Ge  0.7016  0.0417  0.7433  3 Pt 2.51-2.55
Ge  0.9583  0.2984  0.2567  3 Pt 2.51-2.55
Ge  0.2984  0.9583  0.2567  3 Pt 2.51-2.55
Pt  0.5000  0.0000  0.0000  4 Ge 2.51
Pt  0.0000  0.0000  0.0000  4 Ge 2.55
Pt  0.0000  0.5000  0.0000  4 Ge 2.51

***

# 7
A plane-wave DFT calculation with PBE was carried out for a geometry-optimized RbGe2Pt structure.

Properties
Total DFT energy (no corrections) in eV per cell: -16.8
Space group: P4/mmm, No. 123

Lattice parameters (Å, degrees): 3.4208 3.4208 7.9205 90.00 90.00 90.00
Last column: nearest neighbours and their distance in Å.
Sites, in units of the cell vectors:
Ge  0.0000  0.0000  0.8349  1 Ge 2.62, 4 Pt 2.75
Ge  0.0000  0.0000  0.1651  1 Ge 2.62, 4 Pt 2.75
Rb  0.5000  0.5000  0.5000  4 Rb 3.42, 8 Ge 3.59
Pt  0.5000  0.5000  0.0000  8 Ge 2.75

***

# 8
A plane-wave DFT calculation with PBE was carried out for a geometry-optimized RbGe12Pt6 structure.

Properties
Total DFT energy (no corrections) in eV per cell: -96.8
Space group: R-3m, No. 166

Lattice parameters (Å, degrees): 7.6334 7.6334 7.6334 103.45 103.45 103.45
Last column: nearest neighbours and their distance in Å.
Sites, in units of the cell vectors:
Rb  0.0000  0.0000  0.0000  18 Ge 4.15-4.16, 12 Pt 4.20-4.48
Ge  0.8630  0.1370  0.5000  4 Pt 2.64-2.73
Ge  0.8469  0.5295  0.5295  3 Pt 2.51-2.65, 1 Ge 2.60
Ge  0.5295  0.5295  0.8469  3 Pt 2.51-2.65, 1 Ge 2.60
Ge  0.4705  0.1531  0.4705  3 Pt 2.51-2.65, 1 Ge 2.60
Ge  0.4705  0.4705  0.1531  3 Pt 2.51-2.65, 1 Ge 2.60
Ge  0.1531  0.4705  0.4705  3 Pt 2.51-2.65, 1 Ge 2.60
Ge  0.1370  0.5000  0.8630  4 Pt 2.64-2.73
Ge  0.5000  0.8630  0.1370  4 Pt 2.64-2.73
Ge  0.1370  0.8630  0.5000  4 Pt 2.64-2.73
Ge  0.8630  0.5000  0.1370  4 Pt 2.64-2.73
Ge  0.5000  0.1370  0.8630  4 Pt 2.64-2.73
Ge  0.5295  0.8469  0.5295  3 Pt 2.51-2.65, 1 Ge 2.60
Pt  0.6300  0.2349  0.2349  7 Ge 2.51-2.73
Pt  0.2349  0.2349  0.6300  7 Ge 2.51-2.73
Pt  0.2349  0.6300  0.2349  7 Ge 2.51-2.73
Pt  0.7651  0.7651  0.3700  7 Ge 2.51-2.73
Pt  0.3700  0.7651  0.7651  7 Ge 2.51-2.73
Pt  0.7651  0.3700  0.7651  7 Ge 2.51-2.73

***

# 9
A plane-wave DFT calculation with PBE was carried out for a geometry-optimized RbGe3Pt3 structure.

Properties
Energy above the most stable polymorph in this dataset in meV per atom: 85.2
Total DFT energy (no corrections) in eV per cell: -140.8
Space group: P1, No. 1

Lattice parameters (Å, degrees): 8.5787 9.8017 8.4466 77.83 103.20 112.33
Last column: nearest neighbours and their distance in Å.
Sites, in units of the cell vectors:
Rb  0.1392  0.6118  0.1244  4 Ge 3.38-3.74, 2 Rb 3.40-3.75, 6 Pt 3.44-3.72
Rb  0.9288  0.0152  0.3723  7 Ge 3.50-3.83, 5 Pt 3.53-3.79, 1 Rb 3.92
Rb  0.3813  0.3771  0.3944  2 Ge 3.28-3.51, 5 Pt 3.31-3.63
Rb  0.5167  0.8781  0.0472  4 Ge 3.39-3.67, 1 Rb 3.40, 2 Pt 3.46-3.61
Ge  0.6309  0.5022  0.0324  5 Pt 2.48-2.75
Ge  0.8707  0.8068  0.0358  4 Pt 2.47-2.57
Ge  0.1286  0.7330  0.6121  3 Pt 2.47-2.52, 1 Ge 2.55
Ge  0.8628  0.3911  0.4406  4 Pt 2.56-2.61
Ge  0.3179  0.9247  0.3469  4 Pt 2.51-2.62
Ge  0.1502  0.0565  0.7722  4 Pt 2.45-2.62
Ge  0.9708  0.2818  0.9764  5 Pt 2.49-2.69
Ge  0.3870  0.4833  0.7390  5 Pt 2.46-2.65
Ge  0.4545  0.1850  0.1276  5 Pt 2.49-2.58
Ge  0.6770  0.2036  0.7123  4 Pt 2.49-2.56
Ge  0.8032  0.6306  0.5743  3 Pt 2.47-2.54, 1 Ge 2.55
Ge  0.6046  0.9202  0.6304  5 Pt 2.45-2.67
Pt  0.7764  0.3020  0.1553  4 Ge 2.53-2.63, 1 Pt 2.80
Pt  0.8646  0.0466  0.8445  5 Ge 2.53-2.62
Pt  0.7922  0.6192  0.2823  4 Ge 2.47-2.56
Pt  0.3658  0.6974  0.5257  4 Ge 2.47-2.53
Pt  0.1548  0.0026  0.0787  4 Ge 2.47-2.52
Pt  0.3338  0.9911  0.6341  4 Ge 2.49-2.67
Pt  0.0804  0.4605  0.7056  4 Ge 2.51-2.69
Pt  0.4431  0.2338  0.8136  4 Ge 2.45-2.59
Pt  0.7905  0.4511  0.8282  4 Ge 2.47-2.66
Pt  0.6834  0.7054  0.7773  5 Ge 2.45-2.65
Pt  0.6063  0.1408  0.4192  5 Ge 2.49-2.62
Pt  0.2845  0.3485  0.9970  4 Ge 2.46-2.75

***

# 10
A plane-wave DFT calculation with PBE was carried out for a geometry-optimized RbGe2Pt structure.

Properties
Total DFT energy (no corrections) in eV per cell: -34.1
Space group: C2/c, No. 15

Lattice parameters (Å, degrees): 5.1127 6.0080 8.8744 82.45 73.26 62.84
Last column: nearest neighbours and their distance in Å.
Sites, in units of the cell vectors:
Rb  0.9269  0.2500  0.1463  6 Ge 3.50-3.63, 2 Pt 3.61, 2 Rb 3.90
Rb  0.0731  0.7500  0.8537  6 Ge 3.50-3.63, 2 Pt 3.61, 2 Rb 3.90
Ge  0.1496  0.6459  0.3035  2 Pt 2.44-2.53
Ge  0.5469  0.8541  0.3035  2 Pt 2.44-2.53
Ge  0.8504  0.3541  0.6965  2 Pt 2.44-2.53
Ge  0.4531  0.1459  0.6965  2 Pt 2.44-2.53
Pt  0.2767  0.2500  0.4465  4 Ge 2.44-2.53
Pt  0.7233  0.7500  0.5535  4 Ge 2.44-2.53

***

# 11
A plane-wave DFT calculation with PBE was carried out for a geometry-optimized RbGe3Pt structure.

Properties
Energy above the most stable polymorph in this dataset in meV per atom: 0.0
Total DFT energy (no corrections) in eV per cell: -85.1
Space group: C2/c, No. 15

Lattice parameters (Å, degrees): 7.0021 8.4394 8.4394 73.57 77.99 77.99
Last column: nearest neighbours and their distance in Å.
Sites, in units of the cell vectors:
Rb  0.2500  0.9883  0.0117  8 Ge 3.41-3.75, 3 Rb 3.51-3.55, 2 Pt 3.60
Rb  0.7500  0.0117  0.9883  8 Ge 3.41-3.75, 3 Rb 3.51-3.55, 2 Pt 3.60
Rb  0.2500  0.3394  0.6606  8 Ge 3.40-3.67, 4 Pt 3.53-3.71, 1 Rb 3.55
Rb  0.7500  0.6606  0.3394  8 Ge 3.40-3.67, 4 Pt 3.53-3.71, 1 Rb 3.55
Ge  0.5874  0.6353  0.9952  2 Pt 2.61-2.73, 3 Ge 2.67-2.92
Ge  0.9126  0.0048  0.3647  2 Pt 2.61-2.73, 3 Ge 2.67-2.92
Ge  0.4126  0.3647  0.0048  2 Pt 2.61-2.73, 3 Ge 2.67-2.92
Ge  0.0874  0.9952  0.6353  2 Pt 2.61-2.73, 3 Ge 2.67-2.92
Ge  0.8830  0.3782  0.0326  1 Pt 2.65, 4 Ge 2.67-2.94
Ge  0.6170  0.9674  0.6218  1 Pt 2.65, 4 Ge 2.67-2.94
Ge  0.1170  0.6218  0.9674  1 Pt 2.65, 4 Ge 2.67-2.94
Ge  0.3830  0.0326  0.3782  1 Pt 2.65, 4 Ge 2.67-2.94
Ge  0.4080  0.6793  0.6999  2 Pt 2.58-2.66, 1 Ge 2.71
Ge  0.0920  0.3001  0.3207  2 Pt 2.58-2.66, 1 Ge 2.71
Ge  0.5920  0.3207  0.3001  2 Pt 2.58-2.66, 1 Ge 2.71
Ge  0.9080  0.6999  0.6793  2 Pt 2.58-2.66, 1 Ge 2.71
Pt  0.7052  0.4467  0.7669  5 Ge 2.58-2.73, 1 Pt 2.79
Pt  0.7948  0.2331  0.5533  5 Ge 2.58-2.73, 1 Pt 2.79
Pt  0.2948  0.5533  0.2331  5 Ge 2.58-2.73, 1 Pt 2.79
Pt  0.2052  0.7669  0.4467  5 Ge 2.58-2.73, 1 Pt 2.79